(1)
The following is a PBE calculation of a relaxed structure of GaSi2N, from Alexandria.

formation energy without anion corrections = 0.067 eV per atom
total magnetic moment = 0.00 μB/f.u.
VASP energy = -5.4822 eV/atom
relative energy among the computed polymorphs = 0.0000 eV per atom

a b c (Å): 4.9511 4.9511 9.7630
angles (deg): 90.00 90.00 90.00
Fractional positions:
Ga (0.0000, 0.0000, 0.0000)
Ga (0.0000, 0.5000, 0.2500)
Ga (0.5000, 0.0000, 0.7500)
Ga (0.5000, 0.5000, 0.5000)
Si (0.1715, 0.2500, 0.6250)
Si (0.2500, 0.6715, 0.8750)
Si (0.2500, 0.8285, 0.3750)
Si (0.3285, 0.2500, 0.1250)
Si (0.6715, 0.7500, 0.1250)
Si (0.7500, 0.1715, 0.3750)
Si (0.7500, 0.3285, 0.8750)
Si (0.8285, 0.7500, 0.6250)
N (0.0000, 0.0000, 0.5000)
N (0.0000, 0.5000, 0.7500)
N (0.5000, 0.0000, 0.2500)
N (0.5000, 0.5000, 0.0000)

(2)
The following is a PBE calculation of a relaxed structure of La3ZrNb, from Alexandria.

total magnetic moment = 0.58 μB/f.u.
VASP energy = -5.4821 eV/atom
relative energy among the computed polymorphs = 0.4744 eV per atom

a b c (Å): 5.5819 5.5819 5.5819
angles (deg): 90.00 90.00 90.00
Fractional positions:
La (0.0000, 0.0000, 0.5000)
La (0.0000, 0.5000, 0.0000)
La (0.5000, 0.0000, 0.0000)
Zr (0.0000, 0.0000, 0.0000)
Nb (0.5000, 0.5000, 0.5000)

(3)
The following is a PBE calculation of a relaxed structure of CaErP2O8, from Alexandria.

formation energy without anion corrections = -2.636 eV per atom
total magnetic moment = 1.01 μB/f.u.
VASP energy = -7.3900 eV/atom

a b c (Å): 5.3473 5.3473 6.9891
angles (deg): 90.00 90.00 120.00
Fractional positions:
Ca (0.0000, 0.0000, 0.0000)
Er (0.0000, 0.0000, 0.5000)
P (0.3333, 0.6667, 0.7873)
P (0.6667, 0.3333, 0.2127)
O (0.1753, 0.3507, 0.7153)
O (0.1753, 0.8247, 0.7153)
O (0.3333, 0.6667, 0.0082)
O (0.3507, 0.1753, 0.2847)
O (0.6493, 0.8247, 0.7153)
O (0.6667, 0.3333, 0.9918)
O (0.8247, 0.1753, 0.2847)
O (0.8247, 0.6493, 0.2847)

(4)
The following is a PBE calculation of a relaxed structure of SbTe2Os, from Alexandria.

formation energy without anion corrections = 0.312 eV per atom
total magnetic moment = 0.00 μB/f.u.
VASP energy = -5.0966 eV/atom

a b c (Å): 3.9065 3.9065 26.9492
angles (deg): 90.00 90.00 120.00
Fractional positions:
Sb (0.0000, 0.0000, 0.0000)
Sb (0.3333, 0.6667, 0.6667)
Sb (0.6667, 0.3333, 0.3333)
Te (0.0000, 0.0000, 0.1149)
Te (0.0000, 0.0000, 0.8851)
Te (0.3333, 0.6667, 0.5518)
Te (0.3333, 0.6667, 0.7815)
Te (0.6667, 0.3333, 0.2185)
Te (0.6667, 0.3333, 0.4482)
Os (0.0000, 0.0000, 0.5000)
Os (0.3333, 0.6667, 0.1667)
Os (0.6667, 0.3333, 0.8333)

(5)
The following is a PBE calculation of a relaxed structure of MgSiAs2, from Alexandria.

formation energy without anion corrections = 0.158 eV per atom
total magnetic moment = 0.00 μB/f.u.
VASP energy = -3.9213 eV/atom
relative energy among the computed polymorphs = 0.4744 eV per atom

a b c (Å): 3.8423 3.8423 10.1460
angles (deg): 90.00 90.00 90.00
Fractional positions:
Mg (0.0000, 0.0000, 0.0000)
Mg (0.5000, 0.5000, 0.5000)
Si (0.0000, 0.5000, 0.7500)
Si (0.5000, 0.0000, 0.2500)
As (0.0000, 0.0000, 0.5000)
As (0.0000, 0.5000, 0.2500)
As (0.5000, 0.0000, 0.7500)
As (0.5000, 0.5000, 0.0000)

(6)
The following is a PBE calculation of a relaxed structure of MgBi, from Alexandria.

total magnetic moment = 0.00 μB/f.u.
VASP energy = -2.8061 eV/atom

a b c (Å): 14.0474 3.3179 7.2877
angles (deg): 90.00 102.05 90.00
Fractional positions:
Mg (0.0000, 0.0000, 0.0000)
Mg (0.0194, 0.0000, 0.5790)
Mg (0.3423, 0.0000, 0.6973)
Mg (0.5000, 0.5000, 0.0000)
Mg (0.5194, 0.5000, 0.5790)
Mg (0.8423, 0.5000, 0.6973)
Bi (0.1541, 0.5000, 0.3298)
Bi (0.1760, 0.5000, 0.8542)
Bi (0.3834, 0.0000, 0.2650)
Bi (0.6541, 0.0000, 0.3298)
Bi (0.6760, 0.0000, 0.8542)
Bi (0.8834, 0.5000, 0.2650)